Entry from Alexandria: a geometry-optimized NbInAg2F structure (PBE-GGA).

Cell lengths 4.7338, 4.2312, 4.7338 Å; angles 90.00, 90.00, 90.00 degrees
Fractional positions:
Ag 0.5000 0.0000 0.0000
Ag 0.0000 0.0000 0.5000
Nb 0.0000 0.5000 0.0000
F 0.0000 0.0000 0.0000
In 0.5000 0.5000 0.5000

Calculated values
SG   P4/mmm, No. 123
Magnetization   0.200 μB/atom
Uncorrected energy   -0.2984 Ry per atom
E_form (uncorrected)   0.017 eV/atom